Below is a relaxed structure of VZnOs2, with properties calculated at the PBE-GGA level.

Cell: 3.0301 3.0301 6.0319 Å, 90.00 90.00 90.00°
Sites, in units of the cell vectors:
V 0.0000 0.0000 0.0000
Zn 0.0000 0.0000 0.5000
Os 0.5000 0.5000 0.2427
Os 0.5000 0.5000 0.7573

Output
- DFT total energy: -33.1 eV/cell

---

Below is a relaxed structure of Zr3GeOs, with properties calculated at the PBE-GGA level.

Cell: 5.0355 5.0355 5.0355 Å, 90.00 90.00 90.00°
Sites, in units of the cell vectors:
Zr 0.0000 0.0000 0.5000
Zr 0.0000 0.5000 0.0000
Zr 0.5000 0.0000 0.0000
Ge 0.5000 0.5000 0.5000
Os 0.0000 0.0000 0.0000

Output
- Energy above the most stable polymorph in this dataset: 0.0 meV per atom

---

Below is a relaxed structure of BeReOs2, with properties calculated at the PBE-GGA level.

Cell: 2.7729 2.7729 6.6769 Å, 90.00 90.00 90.00°
Sites, in units of the cell vectors:
Be 0.0000 0.0000 0.0000
Re 0.5000 0.5000 0.7720
Os 0.0000 0.0000 0.4867
Os 0.5000 0.5000 0.2024

Output
- DFT total energy: -38.7 eV/cell

---

Below is a relaxed structure of Tb2Sc3Zn3, with properties calculated at the PBE-GGA level.

Cell: 10.7415 10.7415 10.7415 Å, 161.27 153.77 32.43°
Sites, in units of the cell vectors:
Tb 0.2270 0.2270 0.0000
Tb 0.7730 0.7730 0.0000
Sc 0.0000 0.0000 0.0000
Sc 0.3849 0.8849 0.5000
Sc 0.6151 0.1151 0.5000
Zn 0.1087 0.6087 0.5000
Zn 0.5000 0.5000 0.0000
Zn 0.8913 0.3913 0.5000

Output
- DFT total energy: -33.8 eV/cell

---

Below is a relaxed structure of HfCd, with properties calculated at the PBE-GGA level.

Cell: 4.9048 4.9048 5.6853 Å, 90.00 90.00 120.00°
Sites, in units of the cell vectors:
Hf 0.3333 0.6667 0.2500
Hf 0.6667 0.3333 0.7500
Cd 0.3333 0.6667 0.7500
Cd 0.6667 0.3333 0.2500

Output
- DFT total energy: -17.1 eV/cell

---

Below is a relaxed structure of Th6AsP3Se2, with properties calculated at the PBE-GGA level.

Cell: 9.3806 9.3806 8.3823 Å, 103.65 103.65 25.74°
Sites, in units of the cell vectors:
Th 0.0045 0.0045 0.2435
Th 0.3306 0.3306 0.4293
Th 0.3382 0.3382 0.9054
Th 0.6618 0.6618 0.0946
Th 0.6694 0.6694 0.5707
Th 0.9955 0.9955 0.7565
As 0.5000 0.5000 0.5000
P 0.1670 0.1670 0.3329
P 0.5000 0.5000 0.0000
P 0.8330 0.8330 0.6671
Se 0.1670 0.1670 0.8338
Se 0.8330 0.8330 0.1662

Output
- Formation energy without anion corrections: -1.56 eV per atom

---

Below is a relaxed structure of RbAlCu2, with properties calculated at the PBE-GGA level.

Cell: 4.9707 4.9707 4.9707 Å, 60.00 60.00 60.00°
Sites, in units of the cell vectors:
Rb 0.0000 0.0000 0.0000
Al 0.5000 0.5000 0.5000
Cu 0.2500 0.2500 0.2500
Cu 0.7500 0.7500 0.7500

Output
- Energy above the most stable polymorph in this dataset: 383.1 meV per atom

---

Below is a relaxed structure of Sm3AuBr3, with properties calculated at the PBE-GGA level.

Cell: 10.4618 10.4618 10.4618 Å, 109.47 109.47 109.47°
Sites, in units of the cell vectors:
Sm 0.0110 0.0220 0.2610
Sm 0.0110 0.4890 0.7500
Sm 0.0220 0.2610 0.0110
Sm 0.2390 0.2610 0.7500
Sm 0.2390 0.4780 0.4890
Sm 0.2610 0.0110 0.0220
Sm 0.2610 0.7500 0.2390
Sm 0.4780 0.4890 0.2390
Sm 0.4890 0.2390 0.4780
Sm 0.4890 0.7500 0.0110
Sm 0.7500 0.0110 0.4890
Sm 0.7500 0.2390 0.2610
Au 0.0000 0.2500 0.5000
Au 0.2500 0.2500 0.2500
Au 0.2500 0.5000 0.0000
Au 0.5000 0.0000 0.2500
Br 0.2500 0.7543 0.7457
Br 0.2500 0.9957 0.5043
Br 0.5043 0.2500 0.9957
Br 0.5043 0.7543 0.5086
Br 0.5086 0.5043 0.7543
Br 0.7457 0.2500 0.7543
Br 0.7457 0.9957 0.9914
Br 0.7543 0.5086 0.5043
Br 0.7543 0.7457 0.2500
Br 0.9914 0.7457 0.9957
Br 0.9957 0.5043 0.2500
Br 0.9957 0.9914 0.7457

Output
- Formation energy without anion corrections: -1.31 eV per atom

---

Copy entry 7 word for word.
Below is a relaxed structure of RbAlCu2, with properties calculated at the PBE-GGA level.

Cell: 4.9707 4.9707 4.9707 Å, 60.00 60.00 60.00°
Sites, in units of the cell vectors:
Rb 0.0000 0.0000 0.0000
Al 0.5000 0.5000 0.5000
Cu 0.2500 0.2500 0.2500
Cu 0.7500 0.7500 0.7500

Output
- Energy above the most stable polymorph in this dataset: 383.1 meV per atom